# 1
Tl2Cd2In4Hg3 (PBE-GGA, relaxed); DOS at the Fermi energy = 5.17 states/eV/cell; E_tot = -1.64 eV per atom; SG = No. 164; formation energy from the elements = 0.0330 eV per atom; crystal system = trigonal
1.0
5.180 0.000 0.000
-2.590 4.486 0.000
0.000 0.000 13.218
Tl Cd In Hg
2 2 4 3
Direct
0.667 0.333 0.436 Tl
0.333 0.667 0.564 Tl
0.667 0.333 0.935 Cd
0.333 0.667 0.065 Cd
0.667 0.333 0.170 In
0.333 0.667 0.830 In
0.667 0.333 0.707 In
0.333 0.667 0.293 In
0.000 0.000 0.688 Hg
0.000 0.000 0.000 Hg
0.000 0.000 0.312 Hg

---

# 2
TlCdInHg2 (PBE-GGA, relaxed); DOS at the Fermi energy = 1.65 states/eV/cell; E_tot = -1.29 eV per atom; SG = No. 156; formation energy from the elements = 0.0373 eV per atom; crystal system = trigonal
1.0
-2.582 -0.300 4.528
2.849 -4.051 -1.654
4.957 2.270 2.977
Tl Cd In Hg
1 1 1 2
Direct
0.000 0.000 0.988 Tl
0.333 0.667 0.719 Cd
0.667 0.333 0.287 In
0.333 0.667 0.242 Hg
0.667 0.333 0.764 Hg

---

# 3
Tl3Cd2InHg6 (PBE-GGA, relaxed); DOS at the Fermi energy = 4.60 states/eV/cell; E_tot = -1.11 eV per atom; SG = No. 12; formation energy from the elements = 0.0149 eV per atom; crystal system = monoclinic
1.0
7.981 0.495 0.254
-3.560 7.160 0.254
-1.299 -2.249 5.647
Tl Cd In Hg
3 2 1 6
Direct
0.165 0.835 0.500 Tl
0.835 0.165 0.500 Tl
0.500 0.500 0.500 Tl
0.333 0.667 0.000 Cd
0.667 0.333 0.000 Cd
0.000 0.000 0.000 In
0.925 0.589 0.781 Hg
0.738 0.738 0.219 Hg
0.075 0.411 0.219 Hg
0.589 0.925 0.781 Hg
0.262 0.262 0.781 Hg
0.411 0.075 0.219 Hg

---

# 4
Tl4CdIn2Hg2 (PBE-GGA, relaxed); DOS at the Fermi energy = 3.66 states/eV/cell; E_tot = -1.80 eV per atom; SG = No. 2; formation energy from the elements = 0.0243 eV per atom; crystal system = triclinic
1.0
-0.665 -0.362 -6.415
0.486 -8.414 -0.048
-4.340 3.191 5.788
Tl Cd In Hg
4 1 2 2
Direct
0.552 0.801 0.972 Tl
0.761 0.680 0.401 Tl
0.448 0.199 0.028 Tl
0.239 0.320 0.599 Tl
0.000 0.000 0.000 Cd
0.291 0.860 0.458 In
0.709 0.140 0.542 In
0.074 0.426 0.185 Hg
0.926 0.574 0.815 Hg

---

# 5
Tl3Cd3In2Hg (PBE-GGA, relaxed); DOS at the Fermi energy = 4.83 states/eV/cell; E_tot = -1.67 eV per atom; SG = No. 189; formation energy from the elements = 0.0649 eV per atom; crystal system = hexagonal
1.0
3.335 0.000 0.000
0.000 9.234 0.000
0.000 -4.617 7.997
Tl Cd In Hg
3 3 2 1
Direct
0.500 0.703 0.000 Tl
0.500 0.000 0.703 Tl
0.500 0.297 0.297 Tl
0.000 0.631 0.631 Cd
0.000 0.000 0.369 Cd
0.000 0.369 0.000 Cd
0.500 0.667 0.333 In
0.500 0.333 0.667 In
0.000 0.000 0.000 Hg

---

# 6
TlCdInHg (PBE-GGA, relaxed); DOS at the Fermi energy = 0.93 states/eV/cell; ΔE to the lowest computed polymorph = 0.000 eV per atom; E_tot = -1.56 eV per atom; SG = No. 8; formation energy from the elements = 0.0187 eV per atom; crystal system = monoclinic
1.0
-2.049 -2.552 0.906
2.034 -0.701 2.627
-4.887 5.816 5.336
Tl Cd In Hg
1 1 1 1
Direct
0.644 0.356 0.981 Tl
0.647 0.353 0.467 Cd
0.147 0.853 0.696 In
0.146 0.854 0.244 Hg

---

# 7
Tl4Cd2In2Hg (PBE-GGA, relaxed); DOS at the Fermi energy = 3.57 states/eV/cell; E_tot = -1.86 eV per atom; SG = No. 2; formation energy from the elements = 0.0393 eV per atom; crystal system = triclinic
1.0
5.737 0.762 -0.773
-0.663 9.259 0.133
-3.313 -4.703 5.144
Tl Cd In Hg
4 2 2 1
Direct
0.480 0.797 0.948 Tl
0.717 0.684 0.366 Tl
0.520 0.203 0.052 Tl
0.283 0.316 0.634 Tl
0.225 0.869 0.400 Cd
0.775 0.131 0.600 Cd
0.151 0.464 0.251 In
0.849 0.536 0.749 In
0.000 0.000 0.000 Hg

---

# 8
Tl2CdIn2Hg7 (PBE-GGA, relaxed); DOS at the Fermi energy = 3.77 states/eV/cell; E_tot = -1.09 eV per atom; SG = No. 8; formation energy from the elements = 0.0170 eV per atom; crystal system = monoclinic
1.0
-5.442 -0.088 -2.182
2.180 0.109 -5.442
1.697 -9.638 4.037
Tl Cd In Hg
2 1 2 7
Direct
0.250 0.749 0.500 Tl
0.750 0.251 0.500 Tl
0.000 0.999 0.000 Cd
0.338 0.340 0.677 In
0.662 0.660 0.323 In
0.420 0.918 0.840 Hg
0.840 0.841 0.679 Hg
0.080 0.580 0.160 Hg
0.580 0.084 0.160 Hg
0.160 0.159 0.321 Hg
0.920 0.418 0.840 Hg
0.500 0.501 0.000 Hg